1.
Computed, not measured: crystalline SmSbF at its relaxed geometry at the GGA-PBE level of DFT.

As for the uncorrected formation energy: -204 kJ/mol of atoms. The calculation puts the offset from the most stable computed form at 0 meV/atom.

The structure in CIF format:
```
data_SmSbF
_cell_length_a 9.6269
_cell_length_b 7.8052
_cell_length_c 7.3231
_cell_angle_alpha 90.00
_cell_angle_beta 90.00
_cell_angle_gamma 90.00
_symmetry_space_group_name_H-M 'C m c 21'
_symmetry_Int_Tables_number 36
_symmetry_space_group_name_Hall 'C 2c -2'
loop_
_atom_site_label
_atom_site_type_symbol
_atom_site_fract_x
_atom_site_fract_y
_atom_site_fract_z
Sm1 Sm 0.2339 0.1283 0.0000
Sb1 Sb 0.0000 0.1758 0.6909
Sb2 Sb 0.0000 0.4339 0.1856
F1 F 0.2161 0.1255 0.3295
```

2.
Computed, not measured: crystalline Cu3WAu at its relaxed geometry at the GGA-PBE level of DFT.

The formation energy from the elements comes out at 1754 meV per atom. The calculation puts the offset from the most stable computed form at 118 meV/atom.

The structure in CIF format:
```
data_Cu3WAu
_cell_length_a 4.5825
_cell_length_b 4.5825
_cell_length_c 4.5825
_cell_angle_alpha 90.00
_cell_angle_beta 90.00
_cell_angle_gamma 90.00
_symmetry_space_group_name_H-M 'P m -3 m'
_symmetry_Int_Tables_number 221
_symmetry_space_group_name_Hall '-P 4 2 3'
loop_
_atom_site_label
_atom_site_type_symbol
_atom_site_fract_x
_atom_site_fract_y
_atom_site_fract_z
Cu1 Cu 0.0000 0.0000 0.5000
W1 W 0.5000 0.5000 0.5000
Au1 Au 0.0000 0.0000 0.0000
```

Question: offset from the most stable computed form of number 1 (SmSbF)?
Answer: 0 meV/atom